Entry 1:
## U2TcSe (PBE)

Data for a relaxed structure of U2TcSe.

```
U2TcSe
1.0
1.950 1.126 6.918
-1.950 1.126 6.918
0.000 -2.251 6.918
U Tc Se
2 1 1
Direct
0.242 0.242 0.242
0.758 0.758 0.758
0.500 0.500 0.500
0.000 0.000 0.000
```

=====

Entry 2:
## U2TcSe (PBE)

Data for a relaxed structure of U2TcSe.

```
U2TcSe
1.0
3.297 0.000 0.000
0.000 3.297 0.000
0.000 0.000 7.532
U Tc Se
2 1 1
Direct
0.000 0.000 0.237
0.000 0.000 0.763
0.500 0.500 0.000
0.500 0.500 0.500
```

=====

Entry 3:
## UTcSe2 (PBE)

Data for a relaxed structure of UTcSe2.

```
UTcSe2
1.0
1.805 1.042 8.808
-1.805 1.042 8.808
0.000 -2.085 8.808
U Tc Se
1 1 2
Direct
0.000 0.000 0.000
0.500 0.500 0.500
0.407 0.407 0.407
0.593 0.593 0.593
```

=====

Number 1: calculated total energy -9.412 eV per atom, ΔE_f (raw) -0.30 eV per atom. Number 2: calculated total energy -9.468 eV per atom, ΔE_f (raw) -0.36 eV per atom. Number 3: calculated total energy -7.034 eV per atom, ΔE_f (raw) 0.12 eV per atom.